Entry from Alexandria via LeMat-Bulk: a relaxed GdBeAs2 crystal (GGA-PBE).

Cell: 3.3857 3.3857 8.8361 Å, 78.95 78.95 60.00°
Each line ends with the local moment (μB).
Positions (direct):
1 Be 0.5000 0.5000 0.5000  0.00
2 As 0.1122 0.1122 0.6635  0.02
3 As 0.8878 0.8878 0.3365  0.02
4 Gd 0.0000 0.0000 0.0000  -7.06

- Final energy: -6.610 eV per atom
- Calculated formation energy: 0.1661 eV per atom
- Mass density: 6.14 g/cm3
- Spin magnetization: 1.78 μB/atom



Entry from Alexandria via LeMat-Bulk: a relaxed BeFeCu2 crystal (GGA-PBE).

Cell: 4.4289 4.4289 4.2438 Å, 75.79 75.79 32.94°
Each line ends with the local moment (μB).
Positions (direct):
1 Be 0.7500 0.7500 0.7500  -0.06
2 Fe 0.2500 0.2500 0.2500  2.33
3 Cu 0.0143 0.0143 0.9899  0.04
4 Cu 0.4857 0.4857 0.5101  0.04

- Final energy: -5.014 eV per atom
- Calculated formation energy: 0.0812 eV per atom
- Mass density: 7.29 g/cm3
- Spin magnetization: 0.57 μB/atom



Entry from Alexandria via LeMat-Bulk: a relaxed TaCd4Rh crystal (GGA-PBE).

Cell: 5.4758 5.4758 5.4758 Å, 60.00 60.00 60.00°
Each line ends with the local moment (μB).
Positions (direct):
1 Ta 0.0000 0.0000 0.0000  1.08
2 Cd 0.8750 0.3750 0.3750  0.02
3 Cd 0.3750 0.3750 0.8750  0.02
4 Cd 0.3750 0.8750 0.3750  0.02
5 Cd 0.3750 0.3750 0.3750  0.02
6 Rh 0.7500 0.7500 0.7500  0.40

- Final energy: -3.325 eV per atom
- Calculated formation energy: 0.4862 eV per atom
- Mass density: 10.49 g/cm3
- Spin magnetization: 0.34 μB/atom